# 1
! HoGeHRu PBE optimized geometry; values from VASP
! - SG = P4/nmm (129)
&SYSTEM
  ibrav = 0, nat = 8, ntyp = 4
/
ATOMIC_SPECIES
Ho 164.93 Ho.upf
Ge 72.64 Ge.upf
H 1.01 H.upf
Ru 101.07 Ru.upf
ATOMIC_POSITIONS crystal
Ho 0.250 0.250 0.159
Ho 0.750 0.750 0.841
Ge 0.250 0.250 0.691
Ge 0.750 0.750 0.309
H 0.250 0.750 0.000
H 0.750 0.250 0.000
Ru 0.250 0.750 0.500
Ru 0.750 0.250 0.500
CELL_PARAMETERS angstrom
4.096 0.000 0.000
0.000 4.096 0.000
0.000 0.000 7.190


# 2
! PaTaSi PBE optimized geometry; values from VASP
! - distance to the lowest polymorph of the same formula (eV per atom) = 0.239
! - energy relative to the elements, uncorrected (eV/atom) = -0.1508
! - SG = I4mm (107)
&SYSTEM
  ibrav = 0, nat = 3, ntyp = 3
/
ATOMIC_SPECIES
Pa 231.04 Pa.upf
Ta 180.95 Ta.upf
Si 28.09 Si.upf
ATOMIC_POSITIONS crystal
Pa 0.000 0.000 0.000
Ta 0.292 0.292 0.000
Si 0.691 0.691 0.000
CELL_PARAMETERS angstrom
-1.717 1.717 5.026
1.717 -1.717 5.026
1.717 1.717 -5.026


| no. | calculated volume (Å³ per cell) | E_tot (eV per atom) |
| --- | --- | --- |
| 1 | 121 | -6.120 |
| 2 | 59 | -9.075 |